Computed, not measured: a relaxed structure of ScSi2As at the PBE-GGA level of DFT.

Cell: 4.672 4.672 4.672 Å, 60.00 60.00 60.00°
Element x y z (fractional)
Sc1 0.000 0.000 0.000
Si1 0.500 0.500 0.500
Si2 0.750 0.750 0.750
As1 0.250 0.250 0.250

Output
DOS at the Fermi energy in states/eV/cell: 1.74
Symmetry: F-43m, No. 216
ΔE_f (raw) in eV per atom: 0.077
Crystal system: cubic
Magnetic moment in Bohr magnetons per cell: 0.000

=====

Computed, not measured: a relaxed structure of NaTlPb2 at the PBE-GGA level of DFT.

Cell: 3.459 5.149 6.747 Å, 90.00 90.00 90.00°
Element x y z (fractional)
Na1 0.000 0.000 0.000
Tl1 0.000 0.000 0.500
Pb1 0.500 0.500 0.253
Pb2 0.500 0.500 0.747

Output
DFT formation energy in eV per atom: -0.067
DOS at the Fermi energy in states/eV/cell: 1.59
Symmetry: Pmmm, No. 47
Crystal system: orthorhombic
Magnetic moment in Bohr magnetons per cell: 0.000

=====

Computed, not measured: a relaxed structure of Dy4Y4Ho3 at the PBE-GGA level of DFT.

Cell: 10.840 10.840 10.840 Å, 161.29 117.63 65.74°
Element x y z (fractional)
Dy1 0.072 0.830 0.243
Dy2 0.413 0.170 0.243
Dy3 0.587 0.830 0.757
Dy4 0.928 0.170 0.757
Y1 0.221 0.721 0.500
Y2 0.292 0.000 0.292
Y3 0.708 0.000 0.708
Y4 0.779 0.279 0.500
Ho1 0.000 0.500 0.500
Ho2 0.392 0.392 0.000
Ho3 0.608 0.608 0.000

Output
DFT formation energy in eV per atom: 0.191
DOS at the Fermi energy in states/eV/cell: 15.85
Symmetry: Immm, No. 71
Crystal system: orthorhombic
Magnetic moment in Bohr magnetons per cell: 0.002

=====

Computed, not measured: a relaxed structure of Li2NpPb3S6 at the PBE-GGA level of DFT.

Cell: 6.989 6.989 7.120 Å, 98.75 98.75 120.39°
Element x y z (fractional)
Li1 0.184 0.816 0.000
Li2 0.816 0.184 0.000
Np1 0.500 0.500 0.000
Pb1 0.000 0.000 0.500
Pb2 0.333 0.667 0.500
Pb3 0.667 0.333 0.500
S1 0.103 0.422 0.784
S2 0.264 0.264 0.242
S3 0.422 0.103 0.784
S4 0.578 0.897 0.216
S5 0.736 0.736 0.758
S6 0.897 0.578 0.216

Output
DOS at the Fermi energy in states/eV/cell: 5.01
Symmetry: C2/m, No. 12
ΔE_f (raw) in eV per atom: -0.901
Crystal system: monoclinic
Magnetic moment in Bohr magnetons per cell: 3.000

=====

Computed, not measured: a relaxed structure of La2HgW at the PBE-GGA level of DFT.

Cell: 6.696 6.696 6.696 Å, 151.42 131.70 57.09°
Element x y z (fractional)
La1 0.000 0.000 0.000
La2 0.696 0.196 0.500
Hg1 0.273 0.773 0.500
W1 0.471 0.471 0.000

Output
DFT formation energy in eV per atom: 0.335
DOS at the Fermi energy in states/eV/cell: 3.73
Symmetry: Imm2, No. 44
Crystal system: orthorhombic
Magnetic moment in Bohr magnetons per cell: 0.000

=====

Computed, not measured: a relaxed structure of Ca2LaMo at the PBE-GGA level of DFT.

Cell: 6.837 6.837 6.837 Å, 150.26 128.18 60.90°
Element x y z (fractional)
Ca1 0.000 0.000 0.000
Ca2 0.695 0.195 0.500
La1 0.308 0.808 0.500
Mo1 0.477 0.477 0.000

Output
DFT formation energy in eV per atom: 0.483
DOS at the Fermi energy in states/eV/cell: 3.70
Symmetry: Imm2, No. 44
Crystal system: orthorhombic
Magnetic moment in Bohr magnetons per cell: 0.000

=====

Computed, not measured: a relaxed structure of Ce3DyTm2Se6 at the PBE-GGA level of DFT.

Cell: 7.064 7.064 7.263 Å, 99.33 99.33 120.05°
Element x y z (fractional)
Ce1 0.000 0.000 0.000
Ce2 0.335 0.665 0.000
Ce3 0.665 0.335 0.000
Dy1 0.500 0.500 0.500
Tm1 0.167 0.833 0.500
Tm2 0.833 0.167 0.500
Se1 0.085 0.422 0.265
Se2 0.241 0.241 0.733
Se3 0.422 0.085 0.265
Se4 0.578 0.915 0.735
Se5 0.759 0.759 0.267
Se6 0.915 0.578 0.735

Output
DOS at the Fermi energy in states/eV/cell: 18.66
Symmetry: C2/m, No. 12
ΔE_f (raw) in eV per atom: -1.772
Crystal system: monoclinic
Magnetic moment in Bohr magnetons per cell: 3.021

=====

Computed, not measured: a relaxed structure of TeRhN2Cl at the PBE-GGA level of DFT.

Cell: 3.688 3.688 7.683 Å, 90.00 90.00 90.00°
Element x y z (fractional)
Te1 0.000 0.000 0.000
Rh1 0.500 0.500 0.000
N1 0.000 0.500 0.500
N2 0.500 0.000 0.500
Cl1 0.000 0.000 0.500

Output
DOS at the Fermi energy in states/eV/cell: 3.06
Symmetry: P4/mmm, No. 123
ΔE_f (raw) in eV per atom: 2.183
Crystal system: tetragonal
Magnetic moment in Bohr magnetons per cell: 0.861